The following is a PBE calculation of an optimized crystal structure of Tm8Al2Ir, from Alexandria via LeMat-Bulk.

extended XYZ file:
```
11
Lattice="-3.141 -1.340 -3.585 -4.379 -1.690 4.469 -0.196 9.546 0.024" Properties=species:S:1:pos:R:3 pbc="T T T"
Al -3.942 2.033 2.694
Tm -4.200 7.414 -2.509
Tm -1.345 6.192 -1.136
Tm -3.844 0.188 -0.121
Tm -3.516 -0.898 3.417
Al -3.775 4.483 -1.786
Tm -5.605 3.246 0.280
Tm -3.873 6.328 1.029
Tm -6.372 0.324 2.044
Ir -1.571 -0.670 -1.792
Tm -2.111 3.271 0.628
```

As for the space group: C2/m. As for the formation enthalpy at 0 K: -0.33 eV per atom. As for the crystal system: monoclinic. The value obtained for the size of the total moment is 0.000 μB per formula unit. The calculation puts the density at 9.27 g/cm3.